(1)
DFT (PBE) results for a geometry-optimized CeNd4Hg7 structure.

Cell and atoms, written as CIF:
```
data_CeNd4Hg7
_space_group_name_H-M_alt 'C 1 2/m 1'
_space_group_IT_number 12
_cell_length_a 13.0421
_cell_length_b 5.6963
_cell_length_c 11.4408
_cell_angle_alpha 90.00
_cell_angle_beta 123.28
_cell_angle_gamma 90.00
loop_
_space_group_symop_operation_xyz
'x,y,z'
'-x,-y,-z'
'-x,y,-z'
'x,-y,z'
'x+1/2,y+1/2,z'
'-x+1/2,-y+1/2,-z'
'-x+1/2,y+1/2,-z'
'x+1/2,-y+1/2,z'
loop_
_atom_site_label
_atom_site_fract_x
_atom_site_fract_y
_atom_site_fract_z
Ce1 0.0000 0.0000 0.0000
Nd1 0.0812 0.5000 0.7767
Nd2 0.2423 0.5000 0.3290
Hg1 0.0000 0.5000 0.0000
Hg2 0.0759 0.0000 0.3304
Hg3 0.1377 0.5000 0.5379
Hg4 0.2074 0.0000 0.9129
```

Calculated values
- size of the total moment (μB/f.u.) = 1.213
- raw total energy (eV for the cell shown) = -61.3



(2)
DFT (PBE) results for a geometry-optimized CeNd2Hg6 structure.

Cell and atoms, written as CIF:
```
data_CeNd2Hg6
_space_group_name_H-M_alt 'P 6/m m m'
_space_group_IT_number 191
_space_group_name_Hall '-P 6 2'
_cell_length_a 8.7922
_cell_length_b 8.7922
_cell_length_c 3.4504
_cell_angle_alpha 90.00
_cell_angle_beta 90.00
_cell_angle_gamma 120.00
loop_
_atom_site_label
_atom_site_fract_x
_atom_site_fract_y
_atom_site_fract_z
Ce1 0.0000 0.0000 0.0000
Nd1 0.3333 0.6667 0.0000
Hg1 0.0000 0.3335 0.5000
```

Calculated values
- size of the total moment (μB/f.u.) = 1.644
- raw total energy (eV for the cell shown) = -20.9



(3)
DFT (PBE) results for a geometry-optimized Ce2Nd2Hg3 structure.

Cell and atoms, written as CIF:
```
data_Ce2Nd2Hg3
_space_group_name_H-M_alt 'C m m m'
_space_group_IT_number 65
_space_group_name_Hall '-C 2 2'
_cell_length_a 3.8776
_cell_length_b 27.6914
_cell_length_c 3.6248
_cell_angle_alpha 90.00
_cell_angle_beta 90.00
_cell_angle_gamma 90.00
loop_
_atom_site_label
_atom_site_fract_x
_atom_site_fract_y
_atom_site_fract_z
Ce1 0.0000 0.2144 0.0000
Nd1 0.0000 0.0719 0.0000
Hg1 0.0000 0.3580 0.5000
Hg2 0.0000 0.5000 0.5000
```

Calculated values
- size of the total moment (μB/f.u.) = 1.176
- raw total energy (eV for the cell shown) = -48.9